(1)
Below is a geometry-optimized La4TbTm3S8 structure, with properties calculated at the PBE level.

ΔE_f (raw) = -2.0662 eV/atom
total magnetization = 0.000 μB per atom

The structure in CIF format:
```
data_La4TbTm3S8
_chemical_formula_sum 'La12 Tb3 Tm9 S24'
_cell_length_a 7.9252
_cell_length_b 7.9252
_cell_length_c 20.1212
_cell_angle_alpha 90.00
_cell_angle_beta 90.00
_cell_angle_gamma 120.00
_symmetry_space_group_name_H-M 'R -3 m'
_symmetry_Int_Tables_number 166
_symmetry_space_group_name_Hall '-R 3 2"'
loop_
_atom_site_label
_atom_site_type_symbol
_atom_site_fract_x
_atom_site_fract_y
_atom_site_fract_z
La1 La 0.0000 0.0000 0.0000
La2 La 0.0000 0.5000 0.0000
Tb1 Tb 0.0000 0.0000 0.5000
Tm1 Tm 0.0000 0.5000 0.5000
S1 S 0.0000 0.0000 0.2409
S2 S 0.0041 0.5020 0.7582
```

***

(2)
Below is a geometry-optimized Pu3CdHg2 structure, with properties calculated at the PBE level.

total magnetization = 0.953 μB per atom
DFT formation energy = -0.093 eV per atom

The structure in CIF format:
```
data_Pu3CdHg2
_chemical_formula_sum 'Pu3 Cd1 Hg2'
_cell_length_a 3.1774
_cell_length_b 3.1774
_cell_length_c 14.6981
_cell_angle_alpha 90.00
_cell_angle_beta 90.00
_cell_angle_gamma 90.00
_symmetry_space_group_name_H-M 'P 4/m m m'
_symmetry_Int_Tables_number 123
_symmetry_space_group_name_Hall '-P 4 2'
loop_
_atom_site_label
_atom_site_type_symbol
_atom_site_fract_x
_atom_site_fract_y
_atom_site_fract_z
Pu1 Pu 0.0000 0.0000 0.0000
Pu2 Pu 0.0000 0.0000 0.3304
Cd1 Cd 0.5000 0.5000 0.5000
Hg1 Hg 0.5000 0.5000 0.1655
```

***

(3)
Below is a geometry-optimized Ac2Nd5Tl4 structure, with properties calculated at the PBE level.

total magnetization = 0.000 μB per atom
DFT formation energy = -0.008 eV per atom

The structure in CIF format:
```
data_Ac2Nd5Tl4
_chemical_formula_sum 'Ac4 Nd10 Tl8'
_cell_length_a 24.1547
_cell_length_b 3.7499
_cell_length_c 8.6596
_cell_angle_alpha 90.00
_cell_angle_beta 104.28
_cell_angle_gamma 90.00
_symmetry_space_group_name_H-M 'C 1 2/m 1'
_symmetry_Int_Tables_number 12
_symmetry_space_group_name_Hall '-C 2y'
loop_
_atom_site_label
_atom_site_type_symbol
_atom_site_fract_x
_atom_site_fract_y
_atom_site_fract_z
Ac1 Ac 0.2317 0.0000 0.3016
Nd1 Nd 0.0000 0.0000 0.5000
Nd2 Nd 0.1208 0.5000 0.4625
Nd3 Nd 0.1659 0.5000 0.9299
Tl1 Tl 0.0224 0.5000 0.8227
Tl2 Tl 0.0865 0.0000 0.1266
```

***

(4)
Below is a geometry-optimized Pu2ZrC structure, with properties calculated at the PBE level.

total magnetization = 2.510 μB per atom
DFT formation energy = 0.185 eV per atom

The structure in CIF format:
```
data_Pu2ZrC
_chemical_formula_sum 'Pu6 Zr3 C3'
_cell_length_a 3.3258
_cell_length_b 3.3258
_cell_length_c 25.9221
_cell_angle_alpha 90.00
_cell_angle_beta 90.00
_cell_angle_gamma 120.00
_symmetry_space_group_name_H-M 'R -3 m'
_symmetry_Int_Tables_number 166
_symmetry_space_group_name_Hall '-R 3 2"'
loop_
_atom_site_label
_atom_site_type_symbol
_atom_site_fract_x
_atom_site_fract_y
_atom_site_fract_z
Pu1 Pu 0.0000 0.0000 0.2245
Zr1 Zr 0.0000 0.0000 0.0000
C1 C 0.0000 0.0000 0.5000
```

***

(5)
Below is a geometry-optimized KCrTc2 structure, with properties calculated at the PBE level.

total magnetization = 0.000 μB per atom
energy relative to the lowest polymorph listed for this composition = 860.7 meV per atom
DFT formation energy = 1.609 eV per atom

The structure in CIF format:
```
data_KCrTc2
_chemical_formula_sum 'K4 Cr4 Tc8'
_cell_length_a 4.9868
_cell_length_b 4.9868
_cell_length_c 15.8181
_cell_angle_alpha 90.00
_cell_angle_beta 90.00
_cell_angle_gamma 90.00
_symmetry_space_group_name_H-M 'I 41/a m d'
_symmetry_Int_Tables_number 141
loop_
_symmetry_equiv_pos_as_xyz
'x,y,z'
'-x,-y,-z'
'-y+1/4,x+3/4,z+1/4'
'y+1/4,-x+3/4,-z+1/4'
'-x+1/2,-y,z+1/2'
'x+1/2,y,-z+1/2'
'y+1/4,-x+1/4,z+3/4'
'-y+1/4,x+1/4,-z+3/4'
'x,-y,-z'
'-x,y,z'
'-y+1/4,-x+1/4,-z+3/4'
'y+1/4,x+1/4,z+3/4'
'-x+1/2,y,-z+1/2'
'x+1/2,-y,z+1/2'
'y+1/4,x+3/4,-z+1/4'
'-y+1/4,-x+3/4,z+1/4'
'x+1/2,y+1/2,z+1/2'
'-x+1/2,-y+1/2,-z+1/2'
'-y+3/4,x+1/4,z+3/4'
'y+3/4,-x+1/4,-z+3/4'
'-x,-y+1/2,z'
'x,y+1/2,-z'
'y+3/4,-x+3/4,z+1/4'
'-y+3/4,x+3/4,-z+1/4'
'x+1/2,-y+1/2,-z+1/2'
'-x+1/2,y+1/2,z+1/2'
'-y+3/4,-x+3/4,-z+1/4'
'y+3/4,x+3/4,z+1/4'
'-x,y+1/2,-z'
'x,-y+1/2,z'
'y+3/4,x+1/4,-z+3/4'
'-y+3/4,-x+1/4,z+3/4'
loop_
_atom_site_label
_atom_site_type_symbol
_atom_site_fract_x
_atom_site_fract_y
_atom_site_fract_z
K1 K 0.0000 0.2500 0.3750
Cr1 Cr 0.0000 0.2500 0.8750
Tc1 Tc 0.0000 0.0000 0.0000
```

***

(6)
Below is a geometry-optimized KPm2PuTe4 structure, with properties calculated at the PBE level.

ΔE_f (raw) = -1.2920 eV/atom
total magnetization = 0.754 μB per atom

The structure in CIF format:
```
data_KPm2PuTe4
_chemical_formula_sum 'K1 Pm2 Pu1 Te4'
_cell_length_a 7.9010
_cell_length_b 4.4966
_cell_length_c 7.9722
_cell_angle_alpha 90.00
_cell_angle_beta 108.75
_cell_angle_gamma 90.00
_symmetry_space_group_name_H-M 'P 1 2/m 1'
_symmetry_Int_Tables_number 10
_symmetry_space_group_name_Hall '-P 2y'
loop_
_atom_site_label
_atom_site_type_symbol
_atom_site_fract_x
_atom_site_fract_y
_atom_site_fract_z
K1 K 0.0000 0.0000 0.0000
Pm1 Pm 0.0000 0.5000 0.5000
Pm2 Pm 0.5000 0.0000 0.5000
Pu1 Pu 0.5000 0.5000 0.0000
Te1 Te 0.2557 0.0000 0.7454
Te2 Te 0.2626 0.5000 0.2642
```